1.
This record from Alexandria via LeMat-Bulk describes crystalline ZrNbAl2Sn at its relaxed geometry. The functional is PBE.

* ΔE_f: 65 kJ per mole of atoms

Cell lengths 5.0672, 5.0599, 5.0672 Å; angles 90.00, 90.00, 90.00 degrees
Fractional positions:
Nb: 0.0000 0.0000 0.0000
Sn: 0.5000 0.5000 0.5000
Zr: 0.0000 0.5000 0.0000
Al: 0.0000 0.0000 0.5000
Al: 0.5000 0.0000 0.0000



2.
This record from Alexandria via LeMat-Bulk describes crystalline PaCdReO6 at its relaxed geometry. The functional is PBE.

* energy relative to the elements, uncorrected: -2.11 eV per atom

Cell lengths 5.5707, 5.5707, 9.4880 Å; angles 90.00, 90.00, 120.00 degrees
Fractional positions:
Pa: 0.3333 0.6667 0.2500
Pa: 0.6667 0.3333 0.7500
Cd: 0.0000 0.0000 0.0000
Cd: 0.0000 0.0000 0.5000
Re: 0.6667 0.3333 0.2500
Re: 0.3333 0.6667 0.7500
O: 0.6560 0.6284 0.1375
O: 0.9724 0.3440 0.1375
O: 0.3440 0.9724 0.6375
O: 0.0276 0.6560 0.8625
O: 0.3716 0.3440 0.3625
O: 0.9724 0.6284 0.3625
O: 0.6284 0.9724 0.8625
O: 0.6560 0.0276 0.3625
O: 0.0276 0.3716 0.6375
O: 0.3716 0.0276 0.1375
O: 0.6284 0.6560 0.6375
O: 0.3440 0.3716 0.8625



3.
This record from Alexandria via LeMat-Bulk describes crystalline Pr2DyY at its relaxed geometry. The functional is PBE.

* ΔE_f: 10 kJ per mole of atoms

Cell lengths 5.7838, 5.7838, 5.7838 Å; angles 60.00, 60.00, 60.00 degrees
Fractional positions:
Pr: 0.2500 0.2500 0.2500
Pr: 0.7500 0.7500 0.7500
Y: 0.5000 0.5000 0.5000
Dy: 0.0000 0.0000 0.0000



4.
This record from Alexandria via LeMat-Bulk describes crystalline NaVCd at its relaxed geometry. The functional is PBE.

* ΔE_f: 58 kJ per mole of atoms

Cell lengths 5.0753, 5.0753, 6.2487 Å; angles 90.00, 90.00, 120.00 degrees
Fractional positions:
Na: 0.6667 0.3333 0.0000
Na: 0.6667 0.3333 0.5000
Cd: 0.3333 0.6667 0.2626
Cd: 0.3333 0.6667 0.7374
V: 0.0000 0.0000 0.3526
V: 0.0000 0.0000 0.6474



5.
This record from Alexandria via LeMat-Bulk describes crystalline TcIr4Os at its relaxed geometry. The functional is PBE.

* ΔE_f: 46 kJ per mole of atoms

Cell lengths 6.1075, 7.3607, 9.0666 Å; angles 144.19, 109.67, 90.01 degrees
Fractional positions:
Tc: 0.5000 0.5000 0.0000
Tc: 0.5000 0.0000 0.0000
Ir: 0.7360 0.6756 0.4721
Ir: 0.2084 0.7479 0.0009
Ir: 0.7926 0.7481 0.0010
Ir: 0.7371 0.2717 0.4743
Ir: 0.2629 0.7283 0.5257
Ir: 0.7916 0.2521 0.9991
Ir: 0.2074 0.2519 0.9990
Ir: 0.2640 0.3244 0.5279
Os: 0.5000 0.0000 0.5000
Os: 0.0000 0.0000 0.5000



6.
This record from Alexandria via LeMat-Bulk describes crystalline Cs2SBr6O at its relaxed geometry. The functional is PBE.

* energy relative to the elements, uncorrected: -0.54 eV per atom

Cell lengths 7.1318, 7.1318, 7.8721 Å; angles 63.07, 63.07, 90.00 degrees
Fractional positions:
Cs: 0.7500 0.2500 0.5000
Cs: 0.2500 0.7500 0.5000
S: 0.0000 0.0000 0.0000
O: 0.5000 0.5000 0.0000
Br: 0.2073 0.2073 0.5855
Br: 0.7927 0.7927 0.4145
Br: 0.2660 0.2660 0.0000
Br: 0.7340 0.7340 0.0000
Br: 0.7340 0.2660 0.0000
Br: 0.2660 0.7340 0.0000